No. 1
First-principles (GGA-PBE) data for a relaxed La3Os2 crystal, as listed in the Alexandria database.

a = 4.3653 Å, b = 4.3653 Å, c = 26.7898 Å
α = 90.00°, β = 90.00°, γ = 120.00°
Closest atoms and distances in Å follow each position.
Space group R-3m (No. 166, hexagonal axes)
One atom of each set of equivalent atoms:
1 La 0.0000 0.0000 0.0000  6 Os 3.07
2 La 0.0000 0.0000 0.2260  3 Os 2.76
3 Os 0.0000 0.0000 0.3991  6 La 2.76-3.07

The electronic total energy comes out at -7.29 eV per atom. The calculation puts the total moment at 0.00 μB/f.u.

---

No. 2
First-principles (GGA-PBE) data for a relaxed LaOs crystal, as listed in the Alexandria database.

a = 3.4466 Å, b = 3.4466 Å, c = 13.3901 Å
α = 90.00°, β = 90.00°, γ = 120.00°
Closest atoms and distances in Å follow each position.
Space group R-3m (No. 166, hexagonal axes)
One atom of each set of equivalent atoms:
1 La 0.0000 0.0000 0.0000  6 Os 2.99
2 Os 0.0000 0.0000 0.5000  6 La 2.99

The electronic total energy comes out at -7.48 eV per atom. The calculation puts the total moment at 0.00 μB/f.u.

---

No. 3
First-principles (GGA-PBE) data for a relaxed La3Os crystal, as listed in the Alexandria database.

a = 3.9781 Å, b = 3.9781 Å, c = 9.9207 Å
α = 90.00°, β = 90.00°, γ = 120.00°
Closest atoms and distances in Å follow each position.
Space group P-6m2 (No. 187)
One atom of each set of equivalent atoms:
1 La 0.0000 0.0000 0.0000  12 La 3.97-3.98
2 La 0.6667 0.3333 0.3265  3 Os 2.87
3 Os 0.0000 0.0000 0.5000  6 La 2.87

The electronic total energy comes out at -6.35 eV per atom. The calculation puts the total moment at 0.08 μB/f.u.

---

No. 4
First-principles (GGA-PBE) data for a relaxed La3Os2 crystal, as listed in the Alexandria database.

a = 4.9353 Å, b = 4.9353 Å, c = 6.2856 Å
α = 90.00°, β = 90.00°, γ = 120.00°
Closest atoms and distances in Å follow each position.
Space group P-3m1 (No. 164)
One atom of each set of equivalent atoms:
1 La 0.0000 0.0000 0.0000  6 Os 3.07
2 La 0.3333 0.6667 0.3385  5 Os 3.00-3.28
3 Os 0.3333 0.6667 0.8161  8 La 3.00-3.28

The electronic total energy comes out at -7.46 eV per atom. The calculation puts the total moment at 0.00 μB/f.u.

---

No. 5
First-principles (GGA-PBE) data for a relaxed La4Os crystal, as listed in the Alexandria database.

a = 11.3643 Å, b = 11.3643 Å, c = 11.3643 Å
α = 90.00°, β = 90.00°, γ = 90.00°
Closest atoms and distances in Å follow each position.
Space group Fd-3m (No. 227, origin choice 2)
One atom of each set of equivalent atoms:
1 La 0.0101 0.0101 0.2399  1 Os 2.66
2 Os 0.1250 0.1250 0.6250  4 La 2.66

The electronic total energy comes out at -5.94 eV per atom. The calculation puts the total moment at 0.00 μB/f.u.

---

No. 6
First-principles (GGA-PBE) data for a relaxed La3Os crystal, as listed in the Alexandria database.

a = 5.5893 Å, b = 7.9498 Å, c = 4.8425 Å
α = 90.00°, β = 90.00°, γ = 90.00°
Closest atoms and distances in Å follow each position.
Space group Pmmn (No. 59, origin choice 2)
One atom of each set of equivalent atoms:
1 La 0.2500 0.0238 0.1981  2 Os 2.87-3.17, 1 La 3.07
2 La 0.2500 0.7500 0.6458  6 La 3.07-3.41, 2 Os 3.16
3 Os 0.2500 0.2500 0.6592  6 La 2.87-3.17

The electronic total energy comes out at -6.38 eV per atom. The calculation puts the total moment at 0.00 μB/f.u.

---

No. 7
First-principles (GGA-PBE) data for a relaxed La4Os crystal, as listed in the Alexandria database.

a = 9.3421 Å, b = 9.3421 Å, c = 3.6771 Å
α = 90.00°, β = 90.00°, γ = 90.00°
Closest atoms and distances in Å follow each position.
Space group I4/m (No. 87)
One atom of each set of equivalent atoms:
1 La 0.0719 0.2510 0.0000  2 Os 3.05
2 Os 0.0000 0.0000 0.5000  8 La 3.05

The electronic total energy comes out at -6.22 eV per atom. The calculation puts the total moment at 0.00 μB/f.u.

---

No. 8
First-principles (GGA-PBE) data for a relaxed LaOs3 crystal, as listed in the Alexandria database.

a = 4.4323 Å, b = 6.9983 Å, c = 5.7035 Å
α = 90.00°, β = 90.00°, γ = 90.00°
Closest atoms and distances in Å follow each position.
Space group Pmmn (No. 59, origin choice 2)
One atom of each set of equivalent atoms:
1 La 0.2500 0.2500 0.1116  4 Os 3.03-3.26
2 Os 0.2500 0.0592 0.5894  6 Os 2.54-2.67
3 Os 0.2500 0.7500 0.3546  6 Os 2.54-2.61

The electronic total energy comes out at -9.46 eV per atom. The calculation puts the total moment at 0.00 μB/f.u.

---

No. 9
First-principles (GGA-PBE) data for a relaxed LaOs crystal, as listed in the Alexandria database.

a = 2.9646 Å, b = 2.9646 Å, c = 33.5674 Å
α = 90.00°, β = 90.00°, γ = 120.00°
Closest atoms and distances in Å follow each position.
Space group R-3m (No. 166, hexagonal axes)
One atom of each set of equivalent atoms:
1 La 0.0000 0.0000 0.1117  6 La 2.96, 3 Os 3.24
2 Os 0.0000 0.0000 0.3631  3 Os 2.63

The electronic total energy comes out at -7.36 eV per atom. The calculation puts the total moment at 0.00 μB/f.u.

---

No. 10
First-principles (GGA-PBE) data for a relaxed LaOs crystal, as listed in the Alexandria database.

a = 4.9071 Å, b = 4.9071 Å, c = 5.9340 Å
α = 90.00°, β = 90.00°, γ = 120.00°
Closest atoms and distances in Å follow each position.
Space group P6_3/mmc (No. 194)
One atom of each set of equivalent atoms:
1 La 0.3333 0.6667 0.2500  5 Os 2.83-2.97
2 Os 0.3333 0.6667 0.7500  5 La 2.83-2.97

The electronic total energy comes out at -7.04 eV per atom. The calculation puts the total moment at 0.99 μB/f.u.

---

No. 11
First-principles (GGA-PBE) data for a relaxed LaOs crystal, as listed in the Alexandria database.

a = 5.6994 Å, b = 5.6994 Å, c = 5.6994 Å
α = 90.00°, β = 90.00°, γ = 90.00°
Closest atoms and distances in Å follow each position.
Space group P2_13 (No. 198)
One atom of each set of equivalent atoms:
1 La 0.0787 0.4213 0.5787  7 Os 2.96-3.30
2 Os 0.0867 0.9133 0.4133  7 La 2.96-3.30

The electronic total energy comes out at -7.53 eV per atom. The calculation puts the total moment at 0.00 μB/f.u.

---

No. 12
First-principles (GGA-PBE) data for a relaxed La3Os crystal, as listed in the Alexandria database.

a = 10.2883 Å, b = 10.2883 Å, c = 3.4746 Å
α = 90.00°, β = 90.00°, γ = 120.00°
Closest atoms and distances in Å follow each position.
Space group R-3m (No. 166, hexagonal axes)
One atom of each set of equivalent atoms:
1 La 0.0000 0.5000 0.0000  6 La 3.19-3.47, 2 Os 3.19
2 Os 0.0000 0.0000 0.0000  6 La 3.19, 2 Os 3.47

The electronic total energy comes out at -6.11 eV per atom. The calculation puts the total moment at 0.00 μB/f.u.

---

no.,V (A^3/atom)
1,29.47
2,22.96
3,33.99
4,26.52
5,36.69
6,26.90
7,32.09
8,22.11
9,21.29
10,30.94
11,23.14
12,26.54